1.
Here is SiSe2Br after structural relaxation from the Alexandria database. Energies are from PBE-GGA.

Lattice parameters (Å, degrees): 3.8923 3.8923 8.0462 90.00 90.00 90.00
Last column: nearest neighbours and their distance in Å.
Fractional positions:
Se 0.0000 0.0000 0.2165  1 Si 2.47
Se 0.5000 0.5000 0.1681  4 Se 2.78
Si 0.0000 0.0000 0.5232  1 Se 2.47
Br 0.5000 0.5000 0.5922  4 Si 2.81

Values from the calculation:
As for the volume: 30.48 Å³/atom. As for the relative energy among the computed polymorphs: 262 meV/atom. The value obtained for the final energy is -0.2475 Ry/atom.

---

2.
Here is Ba2TlH2 after structural relaxation from the Alexandria database. Energies are from PBE-GGA.

Lattice parameters (Å, degrees): 8.3169 8.3169 3.6616 90.00 90.00 90.00
Last column: nearest neighbours and their distance in Å.
Fractional positions:
Tl 0.0000 0.0000 0.0000  4 H 3.32, 8 Ba 3.57, 2 Tl 3.66
Tl 0.5000 0.5000 0.0000  4 H 3.32, 8 Ba 3.57, 2 Tl 3.66
H 0.3804 0.8804 0.0000  1 H 2.81, 6 Ba 3.03-3.09
H 0.6196 0.1196 0.0000  1 H 2.81, 6 Ba 3.03-3.09
H 0.1196 0.3804 0.0000  1 H 2.81, 6 Ba 3.03-3.09
H 0.8804 0.6196 0.0000  1 H 2.81, 6 Ba 3.03-3.09
Ba 0.6748 0.8252 0.5000  6 H 3.03-3.09
Ba 0.3252 0.1748 0.5000  6 H 3.03-3.09
Ba 0.8252 0.3252 0.5000  6 H 3.03-3.09
Ba 0.1748 0.6748 0.5000  6 H 3.03-3.09

Values from the calculation:
As for the volume: 25.33 Å³/atom. As for the relative energy among the computed polymorphs: 216 meV/atom. The value obtained for the final energy is -0.2043 Ry/atom.

---

3.
Here is NbAlIr after structural relaxation from the Alexandria database. Energies are from PBE-GGA.

Lattice parameters (Å, degrees): 2.8071 5.2212 8.0129 90.00 90.00 90.00
Last column: nearest neighbours and their distance in Å.
Fractional positions:
Al 0.0000 0.3039 0.2500  2 Ir 2.56, 2 Al 2.81
Al 0.0000 0.6961 0.7500  2 Ir 2.56, 2 Al 2.81
Nb 0.5000 0.7865 0.2500  4 Ir 2.69, 2 Nb 2.81, 2 Al 2.88
Nb 0.5000 0.2135 0.7500  4 Ir 2.69, 2 Nb 2.81, 2 Al 2.88
Ir 0.0000 0.0000 0.0000  2 Al 2.56, 4 Nb 2.69, 2 Ir 2.81
Ir 0.0000 0.0000 0.5000  2 Al 2.56, 4 Nb 2.69, 2 Ir 2.81

Values from the calculation:
The formation energy is 0.02 eV per atom. As for the volume: 19.57 Å³/atom. The value obtained for the final energy is -0.5540 Ry/atom.

---

4.
Here is K3Nd3CrS8 after structural relaxation from the Alexandria database. Energies are from PBE-GGA.

Lattice parameters (Å, degrees): 8.0600 8.0612 8.8557 117.09 90.00 120.00
Last column: nearest neighbours and their distance in Å.
Fractional positions:
S 0.7917 0.0218 0.3135  1 Cr 2.48
S 0.7700 0.9782 0.6865  1 Cr 2.48
S 0.2083 0.4166 0.6865  1 Cr 2.48
S 0.7917 0.5834 0.3135  1 Cr 2.48
S 0.2300 0.0218 0.3135  1 Cr 2.48
S 0.2083 0.9782 0.6865  1 Cr 2.48
S 0.2630 0.5260 0.2891  3 Nd 2.82
S 0.7370 0.4740 0.7109  3 Nd 2.82
K 0.0000 0.0000 0.0000  6 S 3.19-3.23
K 0.0000 0.5000 0.0000  6 S 3.19-3.23
K 0.5000 0.5000 0.0000  6 S 3.19-3.23
Nd 0.5000 0.0000 0.5000  6 S 2.82-2.85
Nd 0.0000 0.5000 0.5000  6 S 2.82-2.85
Nd 0.5000 0.5000 0.5000  6 S 2.82-2.85
Cr 0.0000 0.0000 0.5000  6 S 2.48

Values from the calculation:
As for the volume: 28.26 Å³/atom. The value obtained for the final energy is -0.4047 Ry/atom.

---

5.
Here is AcTlSn2Cl8 after structural relaxation from the Alexandria database. Energies are from PBE-GGA.

Lattice parameters (Å, degrees): 6.9991 6.6170 9.2780 92.93 92.88 88.76
Last column: nearest neighbours and their distance in Å.
Fractional positions:
Cl 0.6680 0.7377 0.9635  1 Sn 2.73, 1 Ac 2.93
Cl 0.1465 0.7419 0.2240  1 Sn 2.89, 1 Ac 2.89, 1 Tl 3.20
Cl 0.1880 0.7772 0.7701  1 Sn 2.87, 1 Ac 2.89, 1 Tl 3.19
Cl 0.3320 0.2623 0.0365  1 Sn 2.73, 1 Ac 2.93
Cl 0.8120 0.2228 0.2299  1 Sn 2.87, 1 Ac 2.89, 1 Tl 3.19
Cl 0.3553 0.2848 0.4493  1 Sn 2.56
Cl 0.8535 0.2581 0.7760  1 Sn 2.89, 1 Ac 2.89, 1 Tl 3.20
Cl 0.6447 0.7152 0.5507  1 Sn 2.56
Sn 0.4924 0.4991 0.2582  2 Cl 2.56-2.73
Sn 0.5076 0.5009 0.7418  2 Cl 2.56-2.73
Tl 0.0000 0.0000 0.5000  6 Cl 3.19-3.22
Ac 0.0000 0.0000 0.0000  6 Cl 2.89-2.93

Values from the calculation:
As for the volume: 35.71 Å³/atom. The value obtained for the final energy is -0.2871 Ry/atom.

---

6.
Here is V4GeB after structural relaxation from the Alexandria database. Energies are from PBE-GGA.

Lattice parameters (Å, degrees): 3.1828 5.2960 5.2960 91.81 90.00 90.00
Last column: nearest neighbours and their distance in Å.
Fractional positions:
V 0.5000 0.7353 0.2646  1 B 2.01
V 0.0000 0.1770 0.1770  2 B 2.06
V 0.5000 0.2647 0.7354  1 B 2.01
V 0.0000 0.8230 0.8230  2 B 2.06
B 0.5000 0.0000 0.0000  6 V 2.01-2.06
Ge 0.0000 0.5000 0.5000  6 V 2.38-2.40

Values from the calculation:
The formation energy is 0.27 eV per atom. As for the volume: 14.87 Å³/atom. The value obtained for the final energy is -0.5653 Ry/atom.

---

7.
Here is ReP after structural relaxation from the Alexandria database. Energies are from PBE-GGA.

Lattice parameters (Å, degrees): 2.9104 2.9104 3.8453 90.00 90.00 118.90
Last column: nearest neighbours and their distance in Å.
Fractional positions:
P 0.0000 0.0000 0.0000  4 Re 2.43
Re 0.5000 0.5000 0.5000  4 P 2.43

Values from the calculation:
The formation energy is 0.43 eV per atom. As for the volume: 14.26 Å³/atom. As for the relative energy among the computed polymorphs: 714 meV/atom. The value obtained for the final energy is -0.6250 Ry/atom.

---

8.
Here is Y2AlP after structural relaxation from the Alexandria database. Energies are from PBE-GGA.

Lattice parameters (Å, degrees): 8.4912 5.0255 3.5784 89.91 65.20 134.06
Last column: nearest neighbours and their distance in Å.
Fractional positions:
Y 0.0000 0.0000 0.0000  4 Al 3.08-3.09, 4 P 3.08-3.09, 2 Y 3.23
Y 0.5000 0.0000 0.5000  4 P 3.08-3.09, 4 Al 3.08-3.09, 2 Y 3.23
Al 0.0000 0.5000 0.5000  8 Y 3.08-3.09, 2 P 3.23
P 0.5000 0.5000 0.0000  8 Y 3.08-3.09, 2 Al 3.23

Values from the calculation:
The formation energy is -0.60 eV per atom. As for the volume: 22.24 Å³/atom. As for the relative energy among the computed polymorphs: 301 meV/atom. The value obtained for the final energy is -0.4499 Ry/atom.

---

9.
Here is Li2CaCl4 after structural relaxation from the Alexandria database. Energies are from PBE-GGA.

Lattice parameters (Å, degrees): 4.1187 7.0030 6.6640 76.20 89.99 72.87
Last column: nearest neighbours and their distance in Å.
Fractional positions:
Cl 0.8598 0.2810 0.6121  3 Li 2.41-2.45
Cl 0.6072 0.7859 0.8771  1 Li 2.35
Cl 0.1402 0.7190 0.3879  3 Li 2.41-2.45
Cl 0.3928 0.2141 0.1229  1 Li 2.35
Li 0.6728 0.6535 0.5821  4 Cl 2.35-2.45
Li 0.3272 0.3465 0.4179  4 Cl 2.35-2.45
Ca 0.0000 0.0000 0.0000  6 Cl 2.75-2.79

Values from the calculation:
As for the volume: 25.41 Å³/atom. As for the relative energy among the computed polymorphs: 0 meV/atom. The value obtained for the final energy is -0.2903 Ry/atom.

---

10.
Here is K3Pu2PdS6 after structural relaxation from the Alexandria database. Energies are from PBE-GGA.

Lattice parameters (Å, degrees): 6.8702 6.8702 7.6814 98.49 98.49 120.06
Last column: nearest neighbours and their distance in Å.
Fractional positions:
S 0.5956 0.9339 0.8009  2 Pu 2.70, 1 Pd 2.75
S 0.7295 0.7295 0.1962  2 Pu 2.70, 1 Pd 2.72
S 0.0661 0.4044 0.1991  2 Pu 2.70, 1 Pd 2.75
S 0.4044 0.0661 0.1991  2 Pu 2.70, 1 Pd 2.75
S 0.9339 0.5956 0.8009  2 Pu 2.70, 1 Pd 2.75
S 0.2705 0.2705 0.8038  2 Pu 2.70, 1 Pd 2.72
Pu 0.6670 0.3330 0.0000  6 S 2.70
Pu 0.3330 0.6670 0.0000  6 S 2.70
K 0.8381 0.1619 0.5000  6 S 3.17-3.20
K 0.5000 0.5000 0.5000  6 S 3.18-3.20
K 0.1619 0.8381 0.5000  6 S 3.17-3.20
Pd 0.0000 0.0000 0.0000  6 S 2.72-2.75

Values from the calculation:
As for the volume: 24.98 Å³/atom. The value obtained for the final energy is -0.4689 Ry/atom.

---

11.
Here is CeNbSi2 after structural relaxation from the Alexandria database. Energies are from PBE-GGA.

Lattice parameters (Å, degrees): 4.3193 4.3193 5.5632 67.16 67.16 60.00
Last column: nearest neighbours and their distance in Å.
Fractional positions:
Ce 0.5000 0.5000 0.5000  6 Si 2.95
Si 0.2722 0.2722 0.1835  3 Nb 2.66, 3 Ce 2.95
Si 0.7278 0.7278 0.8165  3 Nb 2.66, 3 Ce 2.95
Nb 0.0000 0.0000 0.0000  6 Si 2.66

Values from the calculation:
As for the volume: 20.09 Å³/atom. As for the relative energy among the computed polymorphs: 0 meV/atom. The value obtained for the final energy is -0.5212 Ry/atom.

---

12.
Here is AgPt2Au after structural relaxation from the Alexandria database. Energies are from PBE-GGA.

Lattice parameters (Å, degrees): 4.1854 3.9925 3.9925 90.00 90.00 90.00
Last column: nearest neighbours and their distance in Å.
Fractional positions:
Pt 0.0000 0.5000 0.5000  4 Pt 2.82, 4 Ag 2.89, 4 Au 2.89
Pt 0.0000 0.0000 0.0000  4 Pt 2.82, 4 Au 2.89, 4 Ag 2.89
Au 0.5000 0.0000 0.5000  4 Ag 2.82, 8 Pt 2.89
Ag 0.5000 0.5000 0.0000  4 Au 2.82, 8 Pt 2.89

Values from the calculation:
The formation energy is 0.06 eV per atom. As for the volume: 16.68 Å³/atom. As for the relative energy among the computed polymorphs: 98 meV/atom. The value obtained for the final energy is -0.3299 Ry/atom.